# Cr2ReTc

Cr2ReTc at its PBEsol-relaxed geometry (meta-GGA SCAN, Alexandria via LeMat-Bulk).

Output
**Space group**: F-43m
**Calculated formation energy**: 4 kJ/mol of atoms

a = 4.182 Å, b = 4.182 Å, c = 4.182 Å
α = 60.00°, β = 60.00°, γ = 60.00°
Fractional coordinates of all 4 atoms:
Cr 0.000 0.000 0.000
Cr 0.250 0.250 0.250
Re 0.500 0.500 0.500
Tc 0.750 0.750 0.750

# BeCu2

BeCu2 at its PBEsol-relaxed geometry (meta-GGA SCAN, Alexandria via LeMat-Bulk).

Output
**Space group**: Cmmm
**Calculated formation energy**: -10 kJ/mol of atoms

a = 2.696 Å, b = 3.892 Å, c = 6.128 Å
α = 108.51°, β = 90.00°, γ = 90.00°
Fractional coordinates of all 6 atoms:
Be 0.000 0.338 0.675
Be 0.000 0.662 0.325
Cu 0.000 0.000 0.000
Cu 0.500 0.500 0.000
Cu 0.500 0.178 0.356
Cu 0.500 0.822 0.644

Which of these has the highest calculated formation energy?
Cr2ReTc

Among the records above, which one has the lowest calculated formation energy?
BeCu2

What did the first record say?
# Cr2ReTc

Cr2ReTc at its PBEsol-relaxed geometry (meta-GGA SCAN, Alexandria via LeMat-Bulk).

Output
**Space group**: F-43m
**Calculated formation energy**: 4 kJ/mol of atoms

a = 4.182 Å, b = 4.182 Å, c = 4.182 Å
α = 60.00°, β = 60.00°, γ = 60.00°
Fractional coordinates of all 4 atoms:
Cr 0.000 0.000 0.000
Cr 0.250 0.250 0.250
Re 0.500 0.500 0.500
Tc 0.750 0.750 0.750

Which of these has the highest calculated formation energy?
Cr2ReTc